Record 1
Computed, not measured: CrTcW2 at its PBEsol-relaxed geometry at the meta-GGA SCAN level of DFT.

raw total energy	-192.73	eV per cell
symmetry	P4/mmm
calculated formation energy	0.02	eV per atom
excess energy over the best structure of this formula in the dataset	5	meV/atom

Lattice parameters (Å, degrees): 4.3115 4.3115 3.0567 90.00 90.00 90.00
Last column: nearest neighbours and their distance in Å.
Atoms (fractional coordinates):
Cr (0.0000, 0.0000, 0.0000)  8 W 2.64
Tc (0.5000, 0.5000, 0.0000)  8 W 2.64
W (0.0000, 0.5000, 0.5000)  4 Cr 2.64, 4 Tc 2.64
W (0.5000, 0.0000, 0.5000)  4 Cr 2.64, 4 Tc 2.64

***

Record 2
Computed, not measured: KCdAg2 at its PBEsol-relaxed geometry at the meta-GGA SCAN level of DFT.

raw total energy	-100.58	eV per cell
symmetry	R3m
calculated formation energy	0.22	eV per atom
excess energy over the best structure of this formula in the dataset	125	meV/atom

Lattice parameters (Å, degrees): 10.3891 10.3891 10.3891 17.28 17.28 17.28
Last column: nearest neighbours and their distance in Å.
Atoms (fractional coordinates):
K (0.0000, 0.0000, 0.0000)  6 K 3.12, 3 Ag 3.32
Cd (0.2353, 0.2353, 0.2353)  3 Ag 2.90, 6 Cd 3.12
Ag (0.4947, 0.4947, 0.4947)  9 Ag 2.82-3.12, 3 Cd 2.90
Ag (0.7574, 0.7574, 0.7574)  9 Ag 2.82-3.12

***

Record 3
Computed, not measured: TlAgTe2 at its PBEsol-relaxed geometry at the meta-GGA SCAN level of DFT.

raw total energy	-177.70	eV per cell
symmetry	Imm2
uncorrected formation energy	12.6	kJ/mol of atoms

Lattice parameters (Å, degrees): 6.0971 6.0971 6.0971 145.22 124.55 67.14
Last column: nearest neighbours and their distance in Å.
Atoms (fractional coordinates):
Tl (0.0000, 0.0000, 0.0000)  2 Ag 3.19, 6 Te 3.39-3.43
Ag (0.2578, 0.7578, 0.5000)  2 Te 2.82
Te (0.4702, 0.4702, 0.0000)  2 Ag 2.82, 2 Te 3.08
Te (0.7142, 0.2142, 0.5000)  2 Te 3.08, 4 Ag 3.40, 2 Tl 3.43

***

Record 4
Computed, not measured: TaSiRh at its PBEsol-relaxed geometry at the meta-GGA SCAN level of DFT.

raw total energy	-452.31	eV per cell
symmetry	Pnma
uncorrected formation energy	-87.1	kJ/mol of atoms

Lattice parameters (Å, degrees): 6.3421 3.7313 7.2633 90.00 90.00 90.00
Last column: nearest neighbours and their distance in Å.
Atoms (fractional coordinates):
Ta (0.0257, 0.2500, 0.1735)  5 Si 2.65-2.71, 6 Rh 2.88-2.97
Ta (0.4743, 0.7500, 0.6735)  5 Si 2.65-2.71, 6 Rh 2.88-2.97
Ta (0.5257, 0.2500, 0.3265)  5 Si 2.65-2.71, 6 Rh 2.88-2.97
Ta (0.9743, 0.7500, 0.8265)  5 Si 2.65-2.71, 6 Rh 2.88-2.97
Si (0.2326, 0.7500, 0.3753)  4 Rh 2.38-2.43, 3 Ta 2.65-2.66
Si (0.2674, 0.2500, 0.8753)  4 Rh 2.38-2.43, 3 Ta 2.65-2.66
Si (0.7326, 0.7500, 0.1247)  4 Rh 2.38-2.43, 3 Ta 2.65-2.66
Si (0.7674, 0.2500, 0.6247)  4 Rh 2.38-2.43, 3 Ta 2.65-2.66
Rh (0.1445, 0.2500, 0.5633)  4 Si 2.38-2.43
Rh (0.3555, 0.7500, 0.0633)  4 Si 2.38-2.43
Rh (0.6445, 0.2500, 0.9367)  4 Si 2.38-2.43
Rh (0.8555, 0.7500, 0.4367)  4 Si 2.38-2.43

***

Record 5
Computed, not measured: Cs3InF6 at its PBEsol-relaxed geometry at the meta-GGA SCAN level of DFT.

raw total energy	-197.06	eV per cell
symmetry	Fm-3m
uncorrected formation energy	-279.8	kJ/mol of atoms

Lattice parameters (Å, degrees): 6.8363 6.8363 6.8363 60.00 60.00 60.00
Last column: nearest neighbours and their distance in Å.
Atoms (fractional coordinates):
Cs (0.0000, 0.0000, 0.0000)  6 F 2.75
Cs (0.2500, 0.2500, 0.2500)  12 F 3.43
Cs (0.7500, 0.7500, 0.7500)  12 F 3.43
In (0.5000, 0.5000, 0.5000)  6 F 2.08
F (0.2844, 0.2844, 0.7156)  1 In 2.08
F (0.2844, 0.7156, 0.2844)  1 In 2.08
F (0.2844, 0.7156, 0.7156)  1 In 2.08
F (0.7156, 0.2844, 0.2844)  1 In 2.08
F (0.7156, 0.2844, 0.7156)  1 In 2.08
F (0.7156, 0.7156, 0.2844)  1 In 2.08

***

Record 6
Computed, not measured: ScFeMo2 at its PBEsol-relaxed geometry at the meta-GGA SCAN level of DFT.

raw total energy	-101.63	eV per cell
symmetry	P4mm
calculated formation energy	0.13	eV per atom
excess energy over the best structure of this formula in the dataset	0	meV/atom

Lattice parameters (Å, degrees): 3.0964 3.0964 6.2922 90.00 90.00 90.00
Last column: nearest neighbours and their distance in Å.
Atoms (fractional coordinates):
Sc (0.0000, 0.0000, 0.0000)  4 Fe 2.74, 5 Mo 2.82-3.04
Fe (0.5000, 0.5000, 0.2620)  5 Mo 2.59-2.86, 4 Sc 2.74
Mo (0.0000, 0.0000, 0.4824)  4 Fe 2.59, 4 Mo 2.64
Mo (0.5000, 0.5000, 0.7168)  4 Mo 2.64, 4 Sc 2.82, 1 Fe 2.86

***

Record 7
Computed, not measured: YSe4Cl at its PBEsol-relaxed geometry at the meta-GGA SCAN level of DFT.

raw total energy	-119.05	eV per cell
symmetry	F-43m
uncorrected formation energy	-46.8	kJ/mol of atoms

Lattice parameters (Å, degrees): 5.6228 5.6228 5.6228 60.00 60.00 60.00
Last column: nearest neighbours and their distance in Å.
Atoms (fractional coordinates):
Y (0.0000, 0.0000, 0.0000)  12 Se 3.30, 4 Cl 3.44
Se (0.1239, 0.6254, 0.6254)  6 Se 2.80-2.82
Se (0.6254, 0.1239, 0.6254)  6 Se 2.80-2.82
Se (0.6254, 0.6254, 0.1239)  6 Se 2.80-2.82
Se (0.6254, 0.6254, 0.6254)  6 Se 2.80-2.82
Cl (0.2500, 0.2500, 0.2500)  12 Se 3.30, 4 Y 3.44

***

Record 8
Computed, not measured: Mn2In2CuPd3 at its PBEsol-relaxed geometry at the meta-GGA SCAN level of DFT.

raw total energy	-220.58	eV per cell
symmetry	R3m
calculated formation energy	-0.47	eV per atom

Lattice parameters (Å, degrees): 7.6759 7.6759 7.6759 33.51 33.51 33.51
Last column: nearest neighbours and their distance in Å.
Atoms (fractional coordinates):
Mn (0.0000, 0.0000, 0.0000)  5 Pd 2.70-2.76, 3 Cu 2.71
Mn (0.4972, 0.4972, 0.4972)  1 Cu 2.67, 7 Pd 2.69-2.72
In (0.2506, 0.2506, 0.2506)  1 Cu 2.69, 7 Pd 2.69-2.74
In (0.7467, 0.7467, 0.7467)  3 Cu 2.69, 5 Pd 2.70-2.75
Cu (0.3744, 0.3744, 0.3744)  4 Mn 2.67-2.71, 4 In 2.69
Pd (0.1244, 0.1244, 0.1244)  4 Mn 2.69-2.70, 4 In 2.73-2.74
Pd (0.6225, 0.6225, 0.6225)  4 In 2.69-2.70, 4 Mn 2.72-2.73
Pd (0.8731, 0.8731, 0.8731)  4 Mn 2.72-2.76, 4 In 2.73-2.75

***

Record 9
Computed, not measured: In2HgMo at its PBEsol-relaxed geometry at the meta-GGA SCAN level of DFT.

raw total energy	-168.49	eV per cell
symmetry	Cm
calculated formation energy	0.33	eV per atom

Lattice parameters (Å, degrees): 5.6139 5.6139 5.1119 99.75 99.75 30.18
Last column: nearest neighbours and their distance in Å.
Atoms (fractional coordinates):
In (0.0000, 0.0000, 0.0000)  3 In 2.92-3.11, 3 Mo 2.97-3.05, 4 Hg 2.97-3.03
In (0.2073, 0.2073, 0.6507)  3 Hg 2.87-3.19, 4 Mo 2.92-3.01, 3 In 2.92-3.11
Hg (0.4444, 0.4444, 0.4724)  7 In 2.87-3.19, 2 Mo 2.90, 2 Hg 2.92
Mo (0.7406, 0.7406, 0.1523)  2 Hg 2.90, 7 In 2.92-3.05, 2 Mo 2.92

***

Record 10
Computed, not measured: CdHgSe2 at its PBEsol-relaxed geometry at the meta-GGA SCAN level of DFT.

raw total energy	-281.01	eV per cell
symmetry	I-42d
uncorrected formation energy	-42.7	kJ/mol of atoms
excess energy over the best structure of this formula in the dataset	2	meV/atom

Lattice parameters (Å, degrees): 7.4799 7.4799 7.4799 131.80 131.80 70.54
Last column: nearest neighbours and their distance in Å.
Atoms (fractional coordinates):
Cd (0.0000, 0.0000, 0.0000)  4 Se 2.63
Cd (0.7500, 0.2500, 0.5000)  4 Se 2.63
Hg (0.2500, 0.7500, 0.5000)  4 Se 2.65
Hg (0.5000, 0.5000, 0.0000)  4 Se 2.65
Se (0.1222, 0.6250, 0.9972)  2 Cd 2.63, 2 Hg 2.65
Se (0.3750, 0.3722, 0.4972)  2 Cd 2.63, 2 Hg 2.65
Se (0.6278, 0.1250, 0.0028)  2 Cd 2.63, 2 Hg 2.65
Se (0.8750, 0.8778, 0.5028)  2 Cd 2.63, 2 Hg 2.65

***

Record 11
Computed, not measured: TcPdO2F at its PBEsol-relaxed geometry at the meta-GGA SCAN level of DFT.

raw total energy	-88.36	eV per cell
symmetry	P4/mmm
uncorrected formation energy	-87.3	kJ/mol of atoms

Lattice parameters (Å, degrees): 3.7624 3.7624 4.1371 90.00 90.00 90.00
Last column: nearest neighbours and their distance in Å.
Atoms (fractional coordinates):
Tc (0.0000, 0.0000, 0.0000)  4 O 1.88, 2 F 2.07
Pd (0.5000, 0.5000, 0.5000)  4 F 2.66, 8 O 2.80
O (0.0000, 0.5000, 0.0000)  2 Tc 1.88
O (0.5000, 0.0000, 0.0000)  2 Tc 1.88
F (0.0000, 0.0000, 0.5000)  2 Tc 2.07

***

Record 12
Computed, not measured: BeCdCl2 at its PBEsol-relaxed geometry at the meta-GGA SCAN level of DFT.

raw total energy	-53.77	eV per cell
symmetry	Immm
uncorrected formation energy	-73.5	kJ/mol of atoms
excess energy over the best structure of this formula in the dataset	98	meV/atom

Lattice parameters (Å, degrees): 6.0069 6.0069 6.0069 151.13 123.36 64.82
Last column: nearest neighbours and their distance in Å.
Atoms (fractional coordinates):
Be (0.0000, 0.0000, 0.0000)  4 Cl 2.10
Cd (0.5000, 0.5000, 0.0000)  2 Cd 3.00, 4 Cl 3.21, 4 Be 3.22
Cl (0.1456, 0.6456, 0.5000)  2 Be 2.10
Cl (0.8544, 0.3544, 0.5000)  2 Be 2.10